## MnSn2F6 (PBE with a Hubbard U)

Data for a geometry-optimized MnSn2F6 structure.

Cell lengths 5.339, 7.904, 7.904 Å; angles 106.57, 83.53, 83.53 degrees
Element x y z (fractional)
F 0.416 0.318 0.935
F 0.918 0.164 0.118
F 0.084 0.065 0.682
F 0.916 0.935 0.318
F 0.418 0.118 0.164
F 0.582 0.882 0.836
F 0.115 0.470 0.308
F 0.082 0.836 0.882
F 0.584 0.682 0.065
F 0.615 0.308 0.470
F 0.885 0.530 0.692
F 0.385 0.692 0.530
Mn 0.750 0.914 0.086
Mn 0.250 0.086 0.914
Sn 0.028 0.217 0.428
Sn 0.972 0.783 0.572
Sn 0.472 0.572 0.783
Sn 0.528 0.428 0.217

E: -48.04 eV/f.u.
ρ: 4.3 g cm⁻³
Symmetry: No. 15
Calculated volume: 313.9 Å³ per cell



## YCd2MoO6 (PBE with a Hubbard U)

Data for a geometry-optimized YCd2MoO6 structure.

Cell lengths 5.656, 5.711, 8.216 Å; angles 90.00, 89.88, 90.00 degrees
Element x y z (fractional)
O 0.803 0.829 0.556
O 0.107 0.436 0.764
O 0.607 0.064 0.264
O 0.697 0.329 0.944
O 0.343 0.707 0.440
O 0.893 0.564 0.236
O 0.657 0.293 0.560
O 0.843 0.793 0.940
O 0.197 0.171 0.444
O 0.303 0.671 0.056
O 0.157 0.207 0.060
O 0.393 0.936 0.736
Mo 0.500 0.000 0.500
Mo 0.000 0.500 0.000
Cd 0.499 0.539 0.754
Cd 0.501 0.461 0.246
Cd 0.999 0.961 0.254
Cd 0.001 0.039 0.746
Y 0.000 0.500 0.500
Y 0.500 0.000 0.000

E: -63.85 eV/f.u.
ρ: 6.3 g cm⁻³
Symmetry: No. 14
Calculated volume: 265.4 Å³ per cell



Q: Which of these has the lowest calculated volume?
A: YCd2MoO6



Repeat the first record exactly.
## MnSn2F6 (PBE with a Hubbard U)

Data for a geometry-optimized MnSn2F6 structure.

Cell lengths 5.339, 7.904, 7.904 Å; angles 106.57, 83.53, 83.53 degrees
Element x y z (fractional)
F 0.416 0.318 0.935
F 0.918 0.164 0.118
F 0.084 0.065 0.682
F 0.916 0.935 0.318
F 0.418 0.118 0.164
F 0.582 0.882 0.836
F 0.115 0.470 0.308
F 0.082 0.836 0.882
F 0.584 0.682 0.065
F 0.615 0.308 0.470
F 0.885 0.530 0.692
F 0.385 0.692 0.530
Mn 0.750 0.914 0.086
Mn 0.250 0.086 0.914
Sn 0.028 0.217 0.428
Sn 0.972 0.783 0.572
Sn 0.472 0.572 0.783
Sn 0.528 0.428 0.217

E: -48.04 eV/f.u.
ρ: 4.3 g cm⁻³
Symmetry: No. 15
Calculated volume: 313.9 Å³ per cell



Q: Among the records above, which one has the highest E?
A: MnSn2F6